Version P
VASP calculation (PBE) on a relaxed structure of HgWIN2.

Cell: 4.0374 4.0374 5.8739 Å, 90.00 90.00 90.00°
With the nearest neighbours (Å) after each atom.
Space group P4/mmm (No. 123)
Unique sites:
Hg 0.0000 0.0000 0.0000 [1 per cell]  4 I 2.85
W 0.5000 0.5000 0.5000 [1 per cell]  4 N 2.02
I 0.5000 0.5000 0.0000 [1 per cell]  4 Hg 2.85, 2 W 2.94
N 0.0000 0.5000 0.5000 [2 per cell]  2 W 2.02

Values from the calculation:
Volume in Å³/cell: 96
D(E_F) in states/eV/cell: 1.51
Crystal system: tetragonal

Version Q
VASP calculation (PBE) on a relaxed structure of HgWIN2.

Cell: 4.1159 4.1159 5.9735 Å, 90.00 90.00 90.00°
With the nearest neighbours (Å) after each atom.
Space group P4/mmm (No. 123)
Unique sites:
Hg 0.0000 0.0000 0.0000 [1 per cell]  4 N 2.06
W 0.5000 0.5000 0.5000 [1 per cell]  4 I 2.91
I 0.0000 0.0000 0.5000 [1 per cell]  4 W 2.91, 2 Hg 2.99
N 0.0000 0.5000 0.0000 [2 per cell]  2 Hg 2.06

Values from the calculation:
Volume in Å³/cell: 101
D(E_F) in states/eV/cell: 6.80
Crystal system: tetragonal

Energetically preferred structure: version P | next structure: +2.324 eV/atom

Version P
VASP calculation (PBE) on a relaxed structure of HgWI2N.

Cell: 5.7510 5.7510 3.8682 Å, 90.00 90.00 90.00°
With the nearest neighbours (Å) after each atom.
Space group P4/mmm (No. 123)
Unique sites:
Hg 0.0000 0.0000 0.0000 [1 per cell]  8 I 3.47, 2 Hg 3.87
W 0.5000 0.5000 0.5000 [1 per cell]  2 N 1.93
I 0.0000 0.5000 0.5000 [2 per cell]  2 W 2.88
N 0.5000 0.5000 0.0000 [1 per cell]  2 W 1.93

Values from the calculation:
Volume in Å³/cell: 128
D(E_F) in states/eV/cell: 2.77
Crystal system: tetragonal

Version Q
VASP calculation (PBE) on a relaxed structure of HgWI2N.

Cell: 6.1755 6.1755 3.8857 Å, 90.00 90.00 90.00°
With the nearest neighbours (Å) after each atom.
Space group P4/mmm (No. 123)
Unique sites:
Hg 0.0000 0.0000 0.0000 [1 per cell]  2 N 1.94
W 0.5000 0.5000 0.5000 [1 per cell]  8 I 3.65, 2 W 3.89
I 0.0000 0.5000 0.0000 [2 per cell]  2 Hg 3.09
N 0.0000 0.0000 0.5000 [1 per cell]  2 Hg 1.94

Values from the calculation:
Volume in Å³/cell: 148
D(E_F) in states/eV/cell: 5.91
Crystal system: tetragonal

Energetically preferred structure: version P | next structure: +1.733 eV/atom

Version P
VASP calculation (PBE) on a relaxed structure of ZnHgI2N.

Cell: 6.1785 6.1785 4.1869 Å, 90.00 90.00 90.00°
With the nearest neighbours (Å) after each atom.
Space group P4/mmm (No. 123)
Unique sites:
Zn 0.0000 0.0000 0.0000 [1 per cell]  8 I 3.73
Hg 0.5000 0.5000 0.5000 [1 per cell]  2 N 2.09
I 0.0000 0.5000 0.5000 [2 per cell]  2 Hg 3.09
N 0.5000 0.5000 0.0000 [1 per cell]  2 Hg 2.09

Values from the calculation:
Volume in Å³/cell: 160
D(E_F) in states/eV/cell: 3.84
Crystal system: tetragonal

Version Q
VASP calculation (PBE) on a relaxed structure of ZnHgI2N.

Cell: 5.4957 5.4957 4.3455 Å, 90.00 90.00 90.00°
With the nearest neighbours (Å) after each atom.
Space group P4/mmm (No. 123)
Unique sites:
Zn 0.0000 0.0000 0.0000 [1 per cell]  8 I 3.50, 4 Hg 3.89
Hg 0.5000 0.5000 0.0000 [1 per cell]  2 N 2.17
I 0.0000 0.5000 0.5000 [2 per cell]  2 N 2.75
N 0.5000 0.5000 0.5000 [1 per cell]  2 Hg 2.17

Values from the calculation:
Volume in Å³/cell: 131
D(E_F) in states/eV/cell: 3.14
Crystal system: tetragonal

Version R
VASP calculation (PBE) on a relaxed structure of ZnHgI2N.

Cell: 5.9552 5.9552 3.8704 Å, 90.00 90.00 90.00°
With the nearest neighbours (Å) after each atom.
Space group P4/mmm (No. 123)
Unique sites:
Zn 0.0000 0.0000 0.0000 [1 per cell]  2 N 1.94
Hg 0.5000 0.5000 0.5000 [1 per cell]  8 I 3.55, 2 Hg 3.87
I 0.0000 0.5000 0.0000 [2 per cell]  2 Zn 2.98
N 0.0000 0.0000 0.5000 [1 per cell]  2 Zn 1.94

Values from the calculation:
Volume in Å³/cell: 137
D(E_F) in states/eV/cell: 3.93
Crystal system: tetragonal

Energetically preferred structure: version R | next structure: +0.274 eV/atom

Version P
VASP calculation (PBE) on a relaxed structure of Na2HgI4.

Cell: 6.1048 6.1048 15.8814 Å, 90.00 90.00 90.00°
With the nearest neighbours (Å) after each atom.
Space group I4/mmm (No. 139)
Unique sites:
Na 0.0000 0.0000 0.1234 [4 per cell]  1 I 3.06
Hg 0.0000 0.0000 0.5000 [2 per cell]  6 I 2.92-3.05
I 0.0000 0.0000 0.3162 [4 per cell]  1 Hg 2.92, 1 Na 3.06
I 0.0000 0.5000 0.0000 [4 per cell]  2 Hg 3.05

Values from the calculation:
Volume in Å³/cell: 592
Crystal system: tetragonal

Version Q
VASP calculation (PBE) on a relaxed structure of Na2HgI4.

Cell: 15.9807 9.2120 15.9791 Å, 90.00 109.54 90.00°
With the nearest neighbours (Å) after each atom.
Space group C2/c (No. 15)
Unique sites:
Na 0.0000 0.0000 0.0000 [4 per cell]  6 I 3.23
Na 0.0000 0.2490 0.2500 [4 per cell]  6 I 3.22-3.23
Na 0.0000 0.5000 0.0000 [4 per cell]  6 I 3.23
Na 0.2500 0.2500 0.5000 [4 per cell]  6 I 3.23
Hg 0.1875 0.2505 0.8126 [8 per cell]  4 I 2.88
I 0.1214 0.2500 0.1241 [8 per cell]  1 Hg 2.88
I 0.1235 0.4949 0.3763 [8 per cell]  1 Hg 2.88
I 0.1237 0.0042 0.3764 [8 per cell]  1 Hg 2.88
I 0.1242 0.2500 0.6214 [8 per cell]  1 Hg 2.88

Values from the calculation:
Volume in Å³/cell: 2217
Crystal system: monoclinic

Version R
VASP calculation (PBE) on a relaxed structure of Na2HgI4.

Cell: 15.5160 4.9356 7.7090 Å, 90.00 111.97 90.00°
With the nearest neighbours (Å) after each atom.
Space group C2/m (No. 12)
Unique sites:
Na 0.2367 0.0000 0.2323 [4 per cell]  6 I 3.16-3.40
Hg 0.0000 0.5000 0.5000 [2 per cell]  2 I 2.73
I 0.1177 0.5000 0.3110 [4 per cell]  1 Hg 2.73
I 0.1368 0.0000 0.7913 [4 per cell]  3 Na 3.16-3.20, 2 Hg 3.47

Values from the calculation:
Volume in Å³/cell: 548
D(E_F) in states/eV/cell: 0.00
Crystal system: monoclinic

Energetically preferred structure: version Q | next structure: +0.037 eV/atom

Version P
VASP calculation (PBE) on a relaxed structure of NaHgI2.

Cell: 8.1218 8.1218 8.1218 Å, 90.00 90.00 90.00°
With the nearest neighbours (Å) after each atom.
Space group Fm-3m (No. 225)
Unique sites:
Na 0.0000 0.0000 0.0000 [4 per cell]  8 I 3.52
Hg 0.0000 0.0000 0.5000 [4 per cell]  8 I 3.52
I 0.2500 0.2500 0.2500 [8 per cell]  4 Hg 3.52, 4 Na 3.52

Values from the calculation:
Volume in Å³/cell: 536
D(E_F) in states/eV/cell: 14.04
Crystal system: cubic

Version Q
VASP calculation (PBE) on a relaxed structure of NaHgI2.

Cell: 5.1922 5.1922 26.7023 Å, 90.00 90.00 120.00°
With the nearest neighbours (Å) after each atom.
Space group R-3m (No. 166, hexagonal axes)
Unique sites:
Na 0.0000 0.0000 0.0000 [3 per cell]  2 I 2.88
Hg 0.0000 0.0000 0.5000 [3 per cell]  6 I 3.38
I 0.0000 0.0000 0.1079 [6 per cell]  1 Na 2.88

Values from the calculation:
Volume in Å³/cell: 623
D(E_F) in states/eV/cell: 12.60
Crystal system: trigonal

Energetically preferred structure: version P | next structure: +0.078 eV/atom

Version P
VASP calculation (PBE) on a relaxed structure of NaHgI2.

Cell: 4.5105 4.5105 24.3161 Å, 90.00 90.00 120.00°
With the nearest neighbours (Å) after each atom.
Space group R3m (No. 160, hexagonal axes)
Unique sites:
Na 0.0000 0.0000 0.0000 [3 per cell]  6 I 3.22
Hg 0.0000 0.0000 0.1671 [3 per cell]  6 I 3.38-3.39
I 0.0000 0.0000 0.4110 [3 per cell]  3 Na 3.22, 3 Hg 3.39
I 0.0000 0.0000 0.5888 [3 per cell]  3 Na 3.22, 3 Hg 3.38

Values from the calculation:
Volume in Å³/cell: 428
D(E_F) in states/eV/cell: 11.10
Crystal system: trigonal

Version Q
VASP calculation (PBE) on a relaxed structure of NaHgI2.

Cell: 6.8532 6.8532 16.0553 Å, 90.00 90.00 90.00°
With the nearest neighbours (Å) after each atom.
Space group I-42d (No. 122)
Unique sites:
Na 0.0000 0.0000 0.0000 [4 per cell]  4 I 3.16
Hg 0.0000 0.0000 0.5000 [4 per cell]  4 I 3.13
I 0.2463 0.2500 0.6250 [8 per cell]  2 Hg 3.13, 2 Na 3.16

Values from the calculation:
Volume in Å³/cell: 754
D(E_F) in states/eV/cell: 4.01
Crystal system: tetragonal

Energetically preferred structure: version Q | next structure: +0.028 eV/atom

Version P
VASP calculation (PBE) on a relaxed structure of Na3HgI.

Cell: 6.0668 6.0668 6.0668 Å, 90.00 90.00 90.00°
With the nearest neighbours (Å) after each atom.
Space group Pm-3m (No. 221)
Unique sites:
Na 0.0000 0.0000 0.5000 [3 per cell]  2 I 3.03
Hg 0.5000 0.5000 0.5000 [1 per cell]  12 Na 4.29
I 0.0000 0.0000 0.0000 [1 per cell]  6 Na 3.03

Values from the calculation:
Volume in Å³/cell: 223
D(E_F) in states/eV/cell: 2.05
Crystal system: cubic

Version Q
VASP calculation (PBE) on a relaxed structure of Na3HgI.

Cell: 5.8374 5.8374 5.8374 Å, 90.00 90.00 90.00°
With the nearest neighbours (Å) after each atom.
Space group Pm-3m (No. 221)
Unique sites:
Na 0.0000 0.0000 0.5000 [3 per cell]  2 Hg 2.92
Hg 0.0000 0.0000 0.0000 [1 per cell]  6 Na 2.92
I 0.5000 0.5000 0.5000 [1 per cell]  12 Na 4.13

Values from the calculation:
Volume in Å³/cell: 199
D(E_F) in states/eV/cell: 3.92
Crystal system: cubic

Energetically preferred structure: version P | next structure: +0.043 eV/atom

Version P
VASP calculation (PBE) on a relaxed structure of Na2HgI.

Cell: 4.0074 4.0074 7.4661 Å, 90.00 90.00 90.00°
With the nearest neighbours (Å) after each atom.
Space group P4/mmm (No. 123)
Unique sites:
Na 0.0000 0.0000 0.2427 [2 per cell]  4 Hg 3.36, 4 I 3.42, 1 Na 3.62
Hg 0.5000 0.5000 0.0000 [1 per cell]  8 Na 3.36, 2 I 3.73
I 0.5000 0.5000 0.5000 [1 per cell]  8 Na 3.42, 2 Hg 3.73

Values from the calculation:
Volume in Å³/cell: 120
D(E_F) in states/eV/cell: 1.06
Crystal system: tetragonal

Version Q
VASP calculation (PBE) on a relaxed structure of Na2HgI.

Cell: 5.7240 5.7240 19.2186 Å, 90.00 90.00 90.00°
With the nearest neighbours (Å) after each atom.
Space group I-42d (No. 122)
Unique sites:
Na 0.2376 0.2500 0.1250 [8 per cell]  2 Hg 3.11, 2 I 3.17
Hg 0.0000 0.0000 0.0000 [4 per cell]  4 Na 3.11
I 0.0000 0.0000 0.5000 [4 per cell]  4 Na 3.17

Values from the calculation:
Volume in Å³/cell: 630
D(E_F) in states/eV/cell: 3.17
Crystal system: tetragonal

Version R
VASP calculation (PBE) on a relaxed structure of Na2HgI.

Cell: 7.9760 7.9760 7.9760 Å, 90.00 90.00 90.00°
With the nearest neighbours (Å) after each atom.
Space group Fm-3m (No. 225)
Unique sites:
Na 0.2500 0.2500 0.2500 [8 per cell]  4 Hg 3.45, 4 I 3.45
Hg 0.0000 0.0000 0.0000 [4 per cell]  8 Na 3.45
I 0.0000 0.0000 0.5000 [4 per cell]  8 Na 3.45

Values from the calculation:
Volume in Å³/cell: 507
D(E_F) in states/eV/cell: 6.07
Crystal system: cubic

Version S
VASP calculation (PBE) on a relaxed structure of Na2HgI.

Cell: 4.5121 4.5121 22.6721 Å, 90.00 90.00 120.00°
With the nearest neighbours (Å) after each atom.
Space group R3m (No. 160, hexagonal axes)
Unique sites:
Na 0.0000 0.0000 0.0000 [3 per cell]  3 Hg 3.18, 3 I 3.26
Na 0.0000 0.0000 0.1722 [3 per cell]  3 Hg 3.19, 3 I 3.25
Hg 0.0000 0.0000 0.5865 [3 per cell]  6 Na 3.18-3.19
I 0.0000 0.0000 0.4200 [3 per cell]  6 Na 3.25-3.26

Values from the calculation:
Volume in Å³/cell: 400
D(E_F) in states/eV/cell: 4.49
Crystal system: trigonal

Energetically preferred structure: version P | next structure: +0.020 eV/atom

Version P
VASP calculation (PBE) on a relaxed structure of Na2HgI2.

Cell: 5.3578 5.9037 7.6091 Å, 90.00 110.64 90.00°
With the nearest neighbours (Å) after each atom.
Space group Pm (No. 6)
Unique sites:
Na 0.0000 0.0000 0.0000 [1 per cell]  4 I 3.10-3.14
Na 0.4554 0.5000 0.9143 [1 per cell]  4 I 3.10-3.16
Hg 0.7795 0.5000 0.5642 [1 per cell]  2 Na 3.66, 2 I 3.98-3.99
I 0.0734 0.5000 0.1494 [1 per cell]  4 Na 3.14-3.16
I 0.3894 0.0000 0.7807 [1 per cell]  4 Na 3.10

Values from the calculation:
Volume in Å³/cell: 225
D(E_F) in states/eV/cell: 0.00
Crystal system: monoclinic

Version Q
VASP calculation (PBE) on a relaxed structure of Na2HgI2.

Cell: 6.2378 6.2378 12.8644 Å, 90.00 90.00 90.00°
With the nearest neighbours (Å) after each atom.
Space group I4/mmm (No. 139)
Unique sites:
Na 0.0000 0.0000 0.2350 [4 per cell]  4 I 3.12, 1 Hg 3.41
Hg 0.0000 0.0000 0.5000 [2 per cell]  2 Na 3.41
I 0.0000 0.5000 0.2500 [4 per cell]  4 Na 3.12

Values from the calculation:
Volume in Å³/cell: 501
D(E_F) in states/eV/cell: 0.00
Crystal system: tetragonal

Energetically preferred structure: version P | next structure: +0.029 eV/atom

Version P
VASP calculation (PBE) on a relaxed structure of Na2HgI2.

Cell: 9.0025 9.0025 4.1886 Å, 90.00 90.00 90.00°
With the nearest neighbours (Å) after each atom.
Space group P4/mbm (No. 127)
Unique sites:
Na 0.1466 0.3534 0.0000 [4 per cell]  6 I 3.26-3.45, 2 Hg 3.44
Hg 0.0000 0.0000 0.0000 [2 per cell]  4 Na 3.44
I 0.1575 0.6575 0.5000 [4 per cell]  6 Na 3.26-3.45

Values from the calculation:
Volume in Å³/cell: 339
D(E_F) in states/eV/cell: 0.00
Crystal system: tetragonal

Version Q
VASP calculation (PBE) on a relaxed structure of Na2HgI2.

Cell: 5.6642 5.6642 14.0538 Å, 90.00 90.00 90.00°
With the nearest neighbours (Å) after each atom.
Space group I4/mmm (No. 139)
Unique sites:
Na 0.0000 0.5000 0.2500 [4 per cell]  4 I 3.10
Hg 0.0000 0.0000 0.0000 [2 per cell]  8 Na 4.51, 10 I 4.59-4.78
I 0.0000 0.0000 0.3401 [4 per cell]  4 Na 3.10

Values from the calculation:
Volume in Å³/cell: 451
D(E_F) in states/eV/cell: 0.00
Crystal system: tetragonal

Energetically preferred structure: version Q | next structure: +0.012 eV/atom

Version P
VASP calculation (PBE) on a relaxed structure of NaHgI2O.

Cell: 5.9976 5.9976 4.3704 Å, 90.00 90.00 90.00°
With the nearest neighbours (Å) after each atom.
Space group P4/mmm (No. 123)
Unique sites:
Na 0.0000 0.0000 0.0000 [1 per cell]  2 O 2.19
Hg 0.5000 0.5000 0.5000 [1 per cell]  8 I 3.71
I 0.0000 0.5000 0.0000 [2 per cell]  2 Na 3.00
O 0.0000 0.0000 0.5000 [1 per cell]  2 Na 2.19

Values from the calculation:
Volume in Å³/cell: 157
D(E_F) in states/eV/cell: 3.75
Crystal system: tetragonal

Version Q
VASP calculation (PBE) on a relaxed structure of NaHgI2O.

Cell: 6.0893 6.0893 4.1918 Å, 90.00 90.00 90.00°
With the nearest neighbours (Å) after each atom.
Space group P4/mmm (No. 123)
Unique sites:
Na 0.0000 0.0000 0.0000 [1 per cell]  8 I 3.70
Hg 0.5000 0.5000 0.5000 [1 per cell]  2 O 2.10
I 0.0000 0.5000 0.5000 [2 per cell]  2 Hg 3.04
O 0.5000 0.5000 0.0000 [1 per cell]  2 Hg 2.10

Values from the calculation:
Volume in Å³/cell: 155
D(E_F) in states/eV/cell: 5.98
Crystal system: tetragonal

Energetically preferred structure: version Q | next structure: +0.339 eV/atom